Record 1
This record from Alexandria via LeMat-Bulk describes an optimized crystal structure of TiMnCr3. The functional is PBE.

Calculated values
Energy of formation from the pure elements, eV/atom: 0.861
Magnetic moment, μB per formula unit: 2.9
Relative energy among the computed polymorphs, kcal/mol of atoms: 0.00

extended XYZ file:
```
5
Lattice="-3.943 -0.712 -1.305 -1.258 -0.373 4.004 -0.792 4.136 0.136" Properties=species:S:1:pos:R:3 pbc="T T T"
Cr -0.629 -0.186 2.002
Cr -0.396 2.068 0.068
Cr -1.971 -0.356 -0.653
Mn 0.000 0.000 0.000
Ti -2.997 1.525 1.418
```

Record 2
This record from Alexandria via LeMat-Bulk describes an optimized crystal structure of Ti4Mn5Cr. The functional is PBE.

Calculated values
Energy of formation from the pure elements, eV/atom: -0.206
Magnetic moment, μB per formula unit: 2.1

extended XYZ file:
```
10
Lattice="-2.225 1.911 0.281 -1.283 -1.142 -2.393 -7.271 -9.721 8.538" Properties=species:S:1:pos:R:3 pbc="T T T"
Ti -1.437 -1.921 1.687
Ti -2.894 -3.870 3.399
Ti -4.376 -5.851 5.139
Ti -5.834 -7.800 6.851
Mn -2.421 -0.507 -0.273
Mn -3.903 -2.489 1.468
Mn -5.389 -4.476 3.213
Mn -6.876 -6.463 4.958
Mn -8.358 -8.445 6.699
Cr 0.000 0.000 0.000
```

Record 3
This record from Alexandria via LeMat-Bulk describes an optimized crystal structure of Ti2Mn2Cr. The functional is PBE.

Calculated values
Energy of formation from the pure elements, eV/atom: 0.015
Magnetic moment, μB per formula unit: 0.0

extended XYZ file:
```
10
Lattice="5.797 0.000 0.000 0.000 5.797 0.000 0.000 0.000 4.106" Properties=species:S:1:pos:R:3 pbc="T T T"
Cr 0.000 0.000 0.000
Cr 2.898 2.898 0.000
Mn 2.113 5.011 0.000
Mn 5.011 3.684 0.000
Mn 3.684 0.785 0.000
Mn 0.785 2.113 0.000
Ti 1.042 3.941 2.053
Ti 3.941 4.754 2.053
Ti 4.754 1.856 2.053
Ti 1.856 1.042 2.053
```

Record 4
This record from Alexandria via LeMat-Bulk describes an optimized crystal structure of TiMn3Cr2. The functional is PBE.

Calculated values
Energy of formation from the pure elements, eV/atom: -0.080
Magnetic moment, μB per formula unit: 0.0

extended XYZ file:
```
6
Lattice="2.855 0.000 0.000 0.000 2.855 0.000 0.000 0.000 8.679" Properties=species:S:1:pos:R:3 pbc="T T T"
Ti 1.428 1.428 4.339
Mn 0.000 0.000 0.000
Mn 0.000 0.000 5.904
Mn 0.000 0.000 2.775
Cr 1.428 1.428 7.255
Cr 1.428 1.428 1.424
```

Record 5
This record from Alexandria via LeMat-Bulk describes an optimized crystal structure of Ti2MnCr3. The functional is PBE.

Calculated values
Energy of formation from the pure elements, eV/atom: -0.172
Magnetic moment, μB per formula unit: 0.0

extended XYZ file:
```
6
Lattice="4.273 -0.127 -2.244 -2.716 3.986 -0.206 -0.191 0.113 4.815" Properties=species:S:1:pos:R:3 pbc="T T T"
Ti 2.159 1.411 -1.164
Ti -0.794 2.561 3.529
Mn 0.000 0.000 0.000
Cr 0.683 1.986 1.182
Cr -0.096 0.056 2.407
Cr 2.041 -0.007 1.285
```

Record 6
This record from Alexandria via LeMat-Bulk describes an optimized crystal structure of Ti3MnCr. The functional is PBE.

Calculated values
Energy of formation from the pure elements, eV/atom: 0.767
Magnetic moment, μB per formula unit: 0.0
Relative energy among the computed polymorphs, kcal/mol of atoms: 0.00

extended XYZ file:
```
5
Lattice="4.409 0.000 0.000 0.000 4.409 0.000 0.000 0.000 4.409" Properties=species:S:1:pos:R:3 pbc="T T T"
Cr 2.204 2.204 2.204
Mn 0.000 0.000 0.000
Ti 0.000 2.204 0.000
Ti 0.000 0.000 2.204
Ti 2.204 0.000 0.000
```